# 1
Material: MgCdPd
Method: DFT, PBE-GGA
State: optimized geometry

Cell lengths 6.352, 6.352, 6.352 Å; angles 90.00, 90.00, 90.00 degrees
Space group F-43m (No. 216)
Unique sites:
Mg 0.000 0.000 0.000 (multiplicity 4)
Cd 0.000 0.000 0.500 (multiplicity 4)
Pd 0.250 0.250 0.750 (multiplicity 4)

Computed properties:
energy above the lowest structure with this stoichiometry	0	meV per atom



# 2
Material: Dy2Ho2CI4Cl
Method: DFT, PBE-GGA
State: optimized geometry

Cell lengths 19.146, 3.887, 8.198 Å; angles 90.00, 101.85, 90.00 degrees
Space group C2/m (No. 12)
Unique sites:
Dy 0.127 0.000 0.064 (multiplicity 4)
Ho 0.001 0.500 0.799 (multiplicity 4)
C 0.000 0.000 0.000 (multiplicity 2)
I 0.161 0.500 0.352 (multiplicity 4)
I 0.166 0.500 0.811 (multiplicity 4)
Cl 0.000 0.000 0.500 (multiplicity 2)

Computed properties:
energy above the lowest structure with this stoichiometry	5	meV per atom



# 3
Material: CoReSn
Method: DFT, PBE-GGA
State: optimized geometry

Cell lengths 5.851, 5.851, 5.851 Å; angles 90.00, 90.00, 90.00 degrees
Space group F-43m (No. 216)
Unique sites:
Co 0.000 0.000 0.000 (multiplicity 4)
Re 0.250 0.250 0.750 (multiplicity 4)
Sn 0.250 0.250 0.250 (multiplicity 4)

Computed properties:
energy above the lowest structure with this stoichiometry	0	meV per atom



# 4
Material: Li2HfCo
Method: DFT, PBE-GGA
State: optimized geometry

Cell lengths 6.131, 6.131, 6.131 Å; angles 90.00, 90.00, 90.00 degrees
Space group F-43m (No. 216)
Unique sites:
Li 0.000 0.000 0.000 (multiplicity 4)
Li 0.250 0.250 0.250 (multiplicity 4)
Hf 0.000 0.000 0.500 (multiplicity 4)
Co 0.250 0.250 0.750 (multiplicity 4)

Computed properties:
energy above the lowest structure with this stoichiometry	0	meV per atom



# 5
Material: AlCuHg
Method: DFT, PBE-GGA
State: optimized geometry

Cell lengths 6.056, 6.056, 6.056 Å; angles 90.00, 90.00, 90.00 degrees
Space group F-43m (No. 216)
Unique sites:
Al 0.000 0.000 0.000 (multiplicity 4)
Cu 0.250 0.250 0.250 (multiplicity 4)
Hg 0.000 0.000 0.500 (multiplicity 4)

Computed properties:
energy above the lowest structure with this stoichiometry	0	meV per atom



# 6
Material: GdGa3P
Method: DFT, PBE-GGA
State: optimized geometry

Cell lengths 4.775, 4.775, 4.775 Å; angles 90.00, 90.00, 90.00 degrees
Space group Pm-3m (No. 221)
Unique sites:
Gd 0.000 0.000 0.000 (multiplicity 1)
Ga 0.000 0.500 0.500 (multiplicity 3)
P 0.500 0.500 0.500 (multiplicity 1)

Computed properties:
DFT total energy	-3.757	eV per atom



# 7
Material: HfCoAgAs
Method: DFT, PBE-GGA
State: optimized geometry

Cell lengths 6.395, 6.395, 6.395 Å; angles 90.00, 90.00, 90.00 degrees
Space group F-43m (No. 216)
Unique sites:
Hf 0.000 0.000 0.000 (multiplicity 4)
Co 0.250 0.250 0.750 (multiplicity 4)
Ag 0.250 0.250 0.250 (multiplicity 4)
As 0.000 0.000 0.500 (multiplicity 4)

Computed properties:
energy above the lowest structure with this stoichiometry	68	meV per atom



# 8
Material: Er2TmMg3CuAu2
Method: DFT, PBE-GGA
State: optimized geometry

Cell lengths 3.985, 13.070, 7.558 Å; angles 90.00, 90.00, 90.00 degrees
Space group Amm2 (No. 38)
Unique sites:
Er 0.000 0.205 0.000 (multiplicity 4)
Tm 0.000 0.000 0.384 (multiplicity 2)
Mg 0.500 0.000 0.036 (multiplicity 2)
Mg 0.500 0.121 0.674 (multiplicity 4)
Cu 0.000 0.000 0.794 (multiplicity 2)
Au 0.500 0.166 0.295 (multiplicity 4)

Computed properties:
DFT total energy	-3.705	eV per atom



# 9
Material: Li4PaAlO6
Method: DFT, PBE-GGA
State: optimized geometry

Cell lengths 5.268, 9.290, 5.141 Å; angles 90.00, 108.15, 90.00 degrees
Space group C2 (No. 5)
Unique sites:
Li 0.000 0.000 0.000 (multiplicity 2)
Li 0.000 0.139 0.500 (multiplicity 2)
Li 0.000 0.537 0.500 (multiplicity 2)
Li 0.000 0.827 0.500 (multiplicity 2)
Pa 0.000 0.334 0.000 (multiplicity 2)
Al 0.000 0.666 0.000 (multiplicity 2)
O 0.220 0.815 0.233 (multiplicity 4)
O 0.225 0.516 0.234 (multiplicity 4)
O 0.231 0.665 0.772 (multiplicity 4)

Computed properties:
DFT total energy	-6.660	eV per atom



# 10
Material: DyLuFe2Br2
Method: DFT, PBE-GGA
State: optimized geometry

Cell lengths 3.8228, 3.8228, 11.5116 Å; angles 90.00, 90.00, 120.00 degrees
Space group P3m1 (No. 156)
Unique sites:
Dy 0.0000 0.0000 0.0000 (multiplicity 1)
Lu 0.0000 0.0000 0.3385 (multiplicity 1)
Fe 0.3333 0.6667 0.1658 (multiplicity 1)
Fe 0.6667 0.3333 0.1794 (multiplicity 1)
Br 0.3333 0.6667 0.5019 (multiplicity 1)
Br 0.6667 0.3333 0.8315 (multiplicity 1)

Computed properties:
DFT total energy	-5.788	eV per atom



# 11
Material: LiFeSiBi
Method: DFT, PBE-GGA
State: optimized geometry

Cell lengths 6.548, 6.548, 6.548 Å; angles 90.00, 90.00, 90.00 degrees
Space group F-43m (No. 216)
Unique sites:
Li 0.000 0.000 0.000 (multiplicity 4)
Fe 0.250 0.250 0.250 (multiplicity 4)
Si 0.000 0.000 0.500 (multiplicity 4)
Bi 0.250 0.250 0.750 (multiplicity 4)

Computed properties:
energy above the lowest structure with this stoichiometry	205	meV per atom



# 12
Material: LaHoCu2Ge4
Method: DFT, PBE-GGA
State: optimized geometry

Cell lengths 4.243, 4.240, 17.219 Å; angles 90.00, 90.00, 90.00 degrees
Space group Amm2 (No. 38)
Unique sites:
La 0.000 0.000 0.000 (multiplicity 2)
Ho 0.500 0.000 0.210 (multiplicity 2)
Cu 0.000 0.000 0.779 (multiplicity 2)
Cu 0.500 0.000 0.429 (multiplicity 2)
Ge 0.000 0.000 0.352 (multiplicity 2)
Ge 0.000 0.000 0.645 (multiplicity 2)
Ge 0.500 0.000 0.568 (multiplicity 2)
Ge 0.500 0.000 0.853 (multiplicity 2)

Computed properties:
DFT total energy	-4.985	eV per atom